{
  "formula": "BaFeSi",
  "functional": "PBE",
  "state": "relaxed",
  "lattice": [[-1.619, 1.707, 5.892], [1.619, -1.707, 5.892], [1.619, 1.707, -5.892]],
  "species": ["Ba", "Fe", "Si"],
  "frac_coords": [[0.000, 0.000, 0.000], [0.277, 0.277, 0.000], [0.725, 0.725, 0.000]],
  "vol_a3_per_atom": 21.712,
  "sg": "Imm2",
  "e_form_raw_ev_per_fu": 0.5,
  "dos_at_fermi_per_ev_fu": 2.25
}